This record from Alexandria via LeMat-Bulk describes a geometry-optimized ErTlSnSe3 structure. The functional is GGA-PBE.

a = 8.918 Å, b = 8.918 Å, c = 11.213 Å
α = 90.00°, β = 90.00°, γ = 153.33°
Positions (direct):
Er (0.000, 0.000, 0.000)
Er (0.000, 0.000, 0.500)
Tl (0.299, 0.701, 0.750)
Tl (0.701, 0.299, 0.250)
Sn (0.369, 0.631, 0.250)
Sn (0.631, 0.369, 0.750)
Se (0.024, 0.976, 0.750)
Se (0.387, 0.613, 0.515)
Se (0.387, 0.613, 0.985)
Se (0.613, 0.387, 0.015)
Se (0.613, 0.387, 0.485)
Se (0.976, 0.024, 0.250)

The uncorrected formation energy is -5.75 eV per formula unit. Its space-group type is Cmcm (63).